[1]
A geometry-optimized Na2TeI structure. Source: Alexandria, functional PBE.

Cell lengths 5.5953, 5.5953, 5.5953 Å; angles 60.00, 60.00, 60.00 degrees
With the nearest neighbours (Å) after each atom.
Element x y z (fractional)
Na 0.7500 0.7500 0.7500  4 Te 3.43, 4 I 3.43
Na 0.2500 0.2500 0.2500  4 Te 3.43, 4 I 3.43
I 0.5000 0.5000 0.5000  8 Na 3.43
Te 0.0000 0.0000 0.0000  8 Na 3.43

Computed properties:
Its magnetic moment is 0.00 μB per formula unit. The space group is Fm-3m, No. 225. As for the uncorrected formation energy: -683 meV per atom. The energy above the lowest structure with this stoichiometry comes out at 127 meV per atom.

[2]
A geometry-optimized NaTe2I structure. Source: Alexandria, functional PBE.

Cell lengths 5.6382, 5.6382, 5.6382 Å; angles 60.00, 60.00, 60.00 degrees
With the nearest neighbours (Å) after each atom.
Element x y z (fractional)
Te 0.2500 0.2500 0.2500  4 Na 3.45, 4 I 3.45
Na 0.0000 0.0000 0.0000  8 Te 3.45
I 0.5000 0.5000 0.5000  8 Te 3.45
Te 0.7500 0.7500 0.7500  4 I 3.45, 4 Na 3.45

Computed properties:
Its magnetic moment is 0.00 μB per formula unit. The space group is Fm-3m, No. 225. As for the uncorrected formation energy: 173 meV per atom. The energy above the lowest structure with this stoichiometry comes out at 230 meV per atom.

[3]
A geometry-optimized NaTe2I structure. Source: Alexandria, functional PBE.

Cell lengths 14.4528, 14.4528, 14.4528 Å; angles 13.44, 13.44, 13.44 degrees
With the nearest neighbours (Å) after each atom.
Element x y z (fractional)
Te 0.9320 0.9320 0.9320  1 Na 2.92
Na 0.0000 0.0000 0.0000  2 Te 2.92
I 0.5000 0.5000 0.5000  6 I 3.38
Te 0.0680 0.0680 0.0680  1 Na 2.92

Computed properties:
Its magnetic moment is 0.00 μB per formula unit. The space group is R-3m, No. 166. As for the uncorrected formation energy: 66 meV per atom. The energy above the lowest structure with this stoichiometry comes out at 123 meV per atom.